Entry 1:
Density functional theory data (PBE) for crystalline LaYCdGa at its relaxed geometry.

abc: 5.3328 5.3328 5.3328
angles: 60.00 60.00 60.00
Fractional coordinates of all 4 atoms:
Cd1 0.0000 0.0000 0.0000
La1 0.2500 0.2500 0.2500
Y1 0.7500 0.7500 0.7500
Ga1 0.5000 0.5000 0.5000

Summary:
Uncorrected energy: -17.132 eV for the cell shown
Crystal system: cubic
E_form: -1.8 eV/f.u.
Distance to the lowest polymorph of the same formula: 23 meV/atom
SG: F-43m, No. 216
Size of the total moment: 0.00 μB/cell

---

Entry 2:
Density functional theory data (PBE) for crystalline SrSbMo at its relaxed geometry.

abc: 5.2889 5.2889 5.2889
angles: 60.00 60.00 60.00
Each line ends with the local moment (μB).
Fractional coordinates of all 3 atoms:
Mo1 0.0000 0.0000 0.0000  3.75
Sb1 0.5000 0.5000 0.5000  -0.05
Sr1 0.2500 0.2500 0.2500  0.13

Summary:
Uncorrected energy: -13.404 eV for the cell shown
Crystal system: cubic
Distance to the lowest polymorph of the same formula: 946 meV/atom
Formation energy from raw total energies: 1.08 eV per atom
SG: F-43m, No. 216
Size of the total moment: 4.98 μB/cell

---

Entry 3:
Density functional theory data (PBE) for crystalline CrInCo2 at its relaxed geometry.

abc: 4.3631 4.3631 4.8561
angles: 79.16 79.16 37.48
Each line ends with the local moment (μB).
Fractional coordinates of all 4 atoms:
Cr1 0.7500 0.7500 0.7500  1.50
Co1 0.0106 0.0106 0.9534  0.95
Co2 0.4894 0.4894 0.5466  0.95
In1 0.2500 0.2500 0.2500  -0.04

Summary:
Uncorrected energy: -25.283 eV for the cell shown
Crystal system: monoclinic
E_form: 1.3 eV/f.u.
SG: C2/m, No. 12
Size of the total moment: 3.41 μB/cell